[1]
# ScTlTe2 PBE-GGA relaxed
# DOS(E_F)	0.63	states/eV/cell
# ρ	6.36	g/cm³
# ΔE_f (raw)	-0.782	eV per atom
data_ScTlTe2
_cell_length_a 3.8403
_cell_length_b 4.0992
_cell_length_c 16.7372
_cell_angle_alpha 90.00
_cell_angle_beta 90.00
_cell_angle_gamma 90.00
_symmetry_space_group_name_H-M 'I m m 2'
_symmetry_Int_Tables_number 44
loop_
_symmetry_equiv_pos_as_xyz
'x,y,z'
'-x,-y,z'
'-x,y,z'
'x,-y,z'
'x+1/2,y+1/2,z+1/2'
'-x+1/2,-y+1/2,z+1/2'
'-x+1/2,y+1/2,z+1/2'
'x+1/2,-y+1/2,z+1/2'
loop_
_atom_site_label
_atom_site_fract_x
_atom_site_fract_y
_atom_site_fract_z
Sc1 0.0000 0.0000 0.0000
Tl1 0.0000 0.5000 0.7615
Te1 0.0000 0.0000 0.5699
Te2 0.0000 0.5000 0.3710

***

[2]
# Li2ThTl3 PBE-GGA relaxed
# DOS(E_F)	9.58	states/eV/cell
# ρ	9.75	g/cm³
# energy relative to the elements	-116	meV/atom
# ΔE to the lowest computed polymorph	77.4	meV per atom
data_Li2ThTl3
_cell_length_a 4.8330
_cell_length_b 4.8330
_cell_length_c 14.4658
_cell_angle_alpha 90.00
_cell_angle_beta 90.00
_cell_angle_gamma 120.00
_symmetry_space_group_name_H-M 'P 63/m m c'
_symmetry_Int_Tables_number 194
_symmetry_space_group_name_Hall '-P 6c 2c'
loop_
_atom_site_label
_atom_site_fract_x
_atom_site_fract_y
_atom_site_fract_z
Li1 0.3333 0.6667 0.0871
Th1 0.0000 0.0000 0.2500
Tl1 0.0000 0.0000 0.0000
Tl2 0.3333 0.6667 0.6303